Record 1
Y2TaFe, optimized geometry, DFT PBEsol; VASP energy = -8.6874 eV/atom; formation energy = 0.10 eV/atom; size of the total moment = 0.16 μB per atom; space-group type = P4mm, No. 99
1.0
-2.871 -0.675 -1.175
-0.822 -1.320 2.767
-2.858 7.442 2.703
Ta Fe Y
1 1 2
Cartesian
-3.805 4.107 2.650
-1.558 4.056 1.473
-2.755 1.359 1.651
-5.590 6.413 1.400



Record 2
TaZn2Fe, optimized geometry, DFT PBEsol; VASP energy = -6.1147 eV/atom; formation energy = 0.05 eV/atom; size of the total moment = 0.62 μB per atom; space-group type = P4/mmm, No. 123
1.0
-2.026 -1.790 -0.441
0.931 -1.558 2.051
-4.312 3.704 4.772
Fe Zn Ta
1 2 1
Cartesian
-0.547 -1.674 0.805
-0.980 0.842 1.084
-3.332 2.862 3.688
-2.703 0.178 3.191



Record 3
TaZnFe2, optimized geometry, DFT PBEsol; VASP energy = -7.9289 eV/atom; formation energy = 0.09 eV/atom; size of the total moment = 0.00 μB per atom; space-group type = P4mm, No. 99
1.0
-0.905 -2.471 -0.080
2.462 -0.908 0.212
-0.629 -0.006 7.274
Ta Fe Zn
1 2 1
Cartesian
-0.306 -0.003 3.541
0.647 -1.691 1.583
-0.014 0.000 0.163
0.286 -1.694 5.757



Record 4
TaZnFe, optimized geometry, DFT PBEsol; VASP energy = -7.5880 eV/atom; formation energy = 0.11 eV/atom; size of the total moment = 0.72 μB per atom; space-group type = I4mm, No. 107
1.0
2.703 0.000 0.000
0.000 2.703 0.000
-1.352 -1.352 5.771
Ta Fe Zn
1 1 1
Cartesian
1.352 1.352 1.892
1.352 1.352 5.678
0.000 0.000 3.972



Record 5
Ta2ZnFe, optimized geometry, DFT PBEsol; VASP energy = -8.8680 eV/atom; formation energy = 0.04 eV/atom; size of the total moment = 0.30 μB per atom; space-group type = Immm, No. 71
1.0
-2.020 2.649 -1.443
-1.496 -2.718 -2.894
-1.124 -0.883 4.519
Fe Zn Ta
1 1 2
Cartesian
-0.748 -1.359 -1.447
-1.010 1.324 -0.721
-3.115 -0.466 -1.062
-1.525 -0.485 1.244



Record 6
TaZn2Fe, optimized geometry, DFT PBEsol; VASP energy = -6.1156 eV/atom; formation energy = 0.05 eV/atom; size of the total moment = 0.27 μB per atom; space-group type = F-43m, No. 216
1.0
4.245 0.000 0.000
2.123 3.677 0.000
2.123 1.226 3.466
Zn Ta Fe
2 1 1
Cartesian
6.368 3.677 2.600
0.000 0.000 0.000
2.123 1.226 0.867
4.245 2.451 1.733



Record 7
ZrTaFe, optimized geometry, DFT PBEsol; VASP energy = -10.2935 eV/atom; formation energy = -0.09 eV/atom; size of the total moment = 0.16 μB per atom; space-group type = I4mm, No. 107
1.0
3.098 0.000 0.000
0.000 3.098 0.000
-1.549 -1.549 5.070
Ta Fe Zr
1 1 1
Cartesian
0.000 0.000 3.581
1.549 1.549 4.968
1.549 1.549 1.590



Record 8
Zr3TaFe, optimized geometry, DFT PBEsol; VASP energy = -9.2387 eV/atom; formation energy = 0.52 eV/atom; size of the total moment = 0.00 μB per atom; space-group type = Pm-3m, No. 221
1.0
4.690 0.000 0.000
0.000 4.690 0.000
0.000 0.000 4.690
Ta Zr Fe
1 3 1
Cartesian
2.345 2.345 2.345
0.000 2.345 0.000
2.345 0.000 0.000
0.000 0.000 2.345
0.000 0.000 0.000



Copy entry 1 word for word.
Y2TaFe, optimized geometry, DFT PBEsol; VASP energy = -8.6874 eV/atom; formation energy = 0.10 eV/atom; size of the total moment = 0.16 μB per atom; space-group type = P4mm, No. 99
1.0
-2.871 -0.675 -1.175
-0.822 -1.320 2.767
-2.858 7.442 2.703
Ta Fe Y
1 1 2
Cartesian
-3.805 4.107 2.650
-1.558 4.056 1.473
-2.755 1.359 1.651
-5.590 6.413 1.400